Computed, not measured: a geometry-optimized Sc2ReSi2 structure at the PBEsol level of DFT.

```
data_Sc2ReSi2
_chemical_formula_sum 'Sc4 Re2 Si4'
_space_group_name_H-M_alt 'P 4/m b m'
_space_group_IT_number 127
_space_group_name_Hall '-P 4 2ab'
_cell_length_a 6.4950
_cell_length_b 6.4950
_cell_length_c 3.8227
_cell_angle_alpha 90.00
_cell_angle_beta 90.00
_cell_angle_gamma 90.00
loop_
_atom_site_label
_atom_site_type_symbol
_atom_site_fract_x
_atom_site_fract_y
_atom_site_fract_z
Sc1 Sc 0.1754 0.3246 0.0000
Re1 Re 0.0000 0.0000 0.5000
Si1 Si 0.1297 0.6297 0.5000
```

Computed properties:
Formation energy without anion corrections, kJ per mole of atoms: -75.0
Spin magnetization, μB/f.u.: 0.0